Entry 1:
Material: Tm6Ni2Ge
Method: DFT, GGA-PBE
State: relaxed

```
Tm6Ni2Ge
1.0
-7.8812 2.2144 -0.0795
4.0014 2.3189 -6.7554
0.5695 -8.1620 0.2852
Tm Ni Ge
12 4 2
direct
0.5373 0.7170 0.8204
0.4627 0.2830 0.1796
0.1034 0.2830 0.8204
0.8966 0.7170 0.1796
0.8043 0.7641 0.5684
0.1957 0.2359 0.4316
0.1957 0.7641 0.9598
0.8043 0.2359 0.0402
0.6912 0.3632 0.6720
0.3088 0.6368 0.3280
0.3088 0.9808 0.6720
0.6912 0.0192 0.3280
0.5000 0.3773 0.8773
0.5000 0.6227 0.1227
0.6569 0.0000 0.6569
0.3431 0.0000 0.3431
0.0000 0.5000 0.5000
0.0000 0.0000 0.0000
```

Space group: Immm, No. 71
DOS at the Fermi energy in states/eV per atom: 0.859
Total DFT energy (no corrections) in eV/atom: -5.213

Entry 2:
Material: KBaTeRh2
Method: DFT, GGA-PBE
State: relaxed

```
KBaTeRh2
1.0
5.1086 0.0000 0.0000
0.0000 6.2113 0.0000
0.0000 0.0000 5.1086
K Te Rh Ba
1 1 2 1
direct
0.5000 0.5000 0.5000
0.0000 0.0000 0.0000
0.0000 0.0000 0.5000
0.5000 0.0000 0.0000
0.0000 0.5000 0.0000
```

Raw formation energy in eV per atom: 0.263
Space group: P4/mmm, No. 123
DOS at the Fermi energy in states/eV per atom: 1.093
Total DFT energy (no corrections) in eV/atom: -3.910

Entry 3:
Material: NpTeP
Method: DFT, GGA-PBE
State: relaxed

```
NpTeP
1.0
-3.5197 -2.1195 0.4248
1.6336 -3.2572 -2.7153
0.6799 -0.2297 4.4873
Np P Te
1 1 1
direct
0.1667 0.3333 0.6667
0.1667 0.0000 0.0000
0.6667 0.6667 0.3333
```

Raw formation energy in eV per atom: -0.265
Space group: P-6m2, No. 187
DOS at the Fermi energy in states/eV per atom: 3.035
Total DFT energy (no corrections) in eV/atom: -7.429

Entry 4:
Material: Ti2CuAg
Method: DFT, GGA-PBE
State: relaxed

```
Ti2CuAg
1.0
-1.8373 3.1583 1.9800
-2.2218 -2.5227 1.9623
2.6932 -0.1910 2.8038
Cu Ag Ti
1 1 2
direct
0.5000 0.0000 0.0000
0.5000 0.5000 0.5000
0.0000 0.0000 0.5000
0.0000 0.5000 0.0000
```

Space group: P4/mmm, No. 123
DOS at the Fermi energy in states/eV per atom: 1.118
Total DFT energy (no corrections) in eV/atom: -5.624